A plane-wave DFT calculation with GGA-PBE was carried out for a geometry-optimized Pa3Si2Tc4 structure.

Results
Uncorrected formation energy (meV/atom): -326
SG: C2/c

Lattice parameters (Å, degrees): 6.062 7.724 7.724 91.94 81.23 81.23
Fractional coordinates of all 18 atoms:
1 Pa 0.895 0.002 0.248
2 Pa 0.605 0.752 0.998
3 Pa 0.105 0.998 0.752
4 Pa 0.395 0.248 0.002
5 Pa 0.250 0.599 0.401
6 Pa 0.750 0.401 0.599
7 Si 0.423 0.166 0.495
8 Si 0.077 0.505 0.834
9 Si 0.577 0.834 0.505
10 Si 0.923 0.495 0.166
11 Tc 0.398 0.932 0.248
12 Tc 0.102 0.752 0.068
13 Tc 0.602 0.068 0.752
14 Tc 0.898 0.248 0.932
15 Tc 0.110 0.272 0.333
16 Tc 0.390 0.667 0.728
17 Tc 0.890 0.728 0.667
18 Tc 0.610 0.333 0.272

***

A plane-wave DFT calculation with GGA-PBE was carried out for a geometry-optimized Pa5SiTc2 structure.

Results
Uncorrected formation energy (meV/atom): -63
SG: Cmcm

Lattice parameters (Å, degrees): 5.602 5.256 14.932 90.00 90.00 122.20
Fractional coordinates of all 16 atoms:
1 Pa 0.900 0.801 0.907
2 Pa 0.900 0.801 0.593
3 Pa 0.428 0.856 0.414
4 Pa 0.428 0.856 0.086
5 Pa 0.759 0.518 0.250
6 Pa 0.241 0.482 0.750
7 Pa 0.572 0.144 0.586
8 Pa 0.572 0.144 0.914
9 Pa 0.100 0.199 0.093
10 Pa 0.100 0.199 0.407
11 Si 0.724 0.448 0.750
12 Si 0.276 0.552 0.250
13 Tc 0.761 0.522 0.418
14 Tc 0.761 0.522 0.082
15 Tc 0.239 0.478 0.582
16 Tc 0.239 0.478 0.918